(1)
# GGA-PBE NiTePN2, optimized geometry
# DFT total energy   -24.144 eV per cell
# Energy relative to the elements, uncorrected   132 kJ/mol of atoms
# Density of states at the Fermi level   0.776 states/eV per atom
# Polymorph energy (0 for the lowest one)   460 meV per atom
data_NiTePN2
_chemical_formula_sum 'Ni1 Te1 P1 N2'
_space_group_name_H-M_alt 'P 4/m m m'
_space_group_IT_number 123
_space_group_name_Hall '-P 4 2'
_cell_length_a 3.611
_cell_length_b 3.611
_cell_length_c 7.612
_cell_angle_alpha 90.00
_cell_angle_beta 90.00
_cell_angle_gamma 90.00
loop_
_atom_site_label
_atom_site_fract_x
_atom_site_fract_y
_atom_site_fract_z
Ni1 0.000 0.000 0.000
Te1 0.000 0.000 0.500
P1 0.500 0.500 0.500
N1 0.000 0.500 0.000

(2)
# GGA-PBE ThNiPN, optimized geometry
# DFT total energy   -63.714 eV per cell
# Energy relative to the elements, uncorrected   -119 kJ/mol of atoms
# Density of states at the Fermi level   0.423 states/eV per atom
data_ThNiPN
_chemical_formula_sum 'Th2 Ni2 P2 N2'
_space_group_name_H-M_alt 'P 4/n m m'
_space_group_IT_number 129
_cell_length_a 4.033
_cell_length_b 4.033
_cell_length_c 8.071
_cell_angle_alpha 90.00
_cell_angle_beta 90.00
_cell_angle_gamma 90.00
loop_
_space_group_symop_operation_xyz
'x,y,z'
'-x,-y,-z'
'-y+1/2,x,z'
'y+1/2,-x,-z'
'-x+1/2,-y+1/2,z'
'x+1/2,y+1/2,-z'
'y,-x+1/2,z'
'-y,x+1/2,-z'
'x+1/2,-y,-z'
'-x+1/2,y,z'
'-y,-x,-z'
'y,x,z'
'-x,y+1/2,-z'
'x,-y+1/2,z'
'y+1/2,x+1/2,-z'
'-y+1/2,-x+1/2,z'
loop_
_atom_site_label
_atom_site_fract_x
_atom_site_fract_y
_atom_site_fract_z
Th1 0.250 0.250 0.146
Ni1 0.250 0.750 0.500
P1 0.250 0.250 0.629
N1 0.250 0.750 0.000